No. 1
## HPd6Au2S (GGA-PBE)

Data for a relaxed HPd6Au2S crystal.

a = 5.9860 Å, b = 5.9860 Å, c = 5.9194 Å
α = 119.55°, β = 119.55°, γ = 89.99°
Last column: nearest neighbours and their distance in Å.
Fractional positions:
H 0.0000 0.0000 0.0000  6 Pd 2.00-2.01
Pd 0.2323 0.2323 0.9910  1 H 2.00, 1 S 2.23
Pd 0.2363 0.2363 0.4736  1 H 2.01, 1 S 2.23
Pd 0.2366 0.7634 0.0000  1 H 2.00, 1 S 2.23
Pd 0.7634 0.2366 0.0000  1 H 2.00, 1 S 2.23
Pd 0.7637 0.7637 0.5264  1 H 2.01, 1 S 2.23
Pd 0.7677 0.7677 0.0090  1 H 2.00, 1 S 2.23
Au 0.2528 0.7472 0.5000  12 Pd 2.96-3.04
Au 0.7472 0.2528 0.5000  12 Pd 2.96-3.04
S 0.5000 0.5000 0.0000  6 Pd 2.23

Output
E: -4.6238 eV/atom
Space-group type: No. 12
Calculated density: 11.64 Mg/m³

---

No. 2
## ScHPdAu2 (GGA-PBE)

Data for a relaxed ScHPdAu2 crystal.

a = 4.3183 Å, b = 4.3183 Å, c = 3.9809 Å
α = 90.00°, β = 90.00°, γ = 90.00°
Last column: nearest neighbours and their distance in Å.
Fractional positions:
Sc 0.0000 0.0000 0.0000  2 H 1.99
H 0.0000 0.0000 0.5000  2 Sc 1.99, 4 Au 2.16
Pd 0.5000 0.5000 0.0000  8 Au 2.94, 4 Sc 3.05
Au 0.0000 0.5000 0.5000  2 H 2.16
Au 0.5000 0.0000 0.5000  2 H 2.16

Output
E: -4.6283 eV/atom
Space-group type: No. 123
Calculated density: 12.22 Mg/m³

---

No. 3
## Sc2HPdAu (GGA-PBE)

Data for a relaxed Sc2HPdAu crystal.

a = 4.6391 Å, b = 4.6391 Å, c = 3.6392 Å
α = 90.00°, β = 90.00°, γ = 90.00°
Last column: nearest neighbours and their distance in Å.
Fractional positions:
Sc 0.0000 0.5000 0.0000  2 H 2.32
Sc 0.5000 0.0000 0.0000  2 H 2.32
H 0.0000 0.0000 0.0000  2 Pd 1.82
Pd 0.0000 0.0000 0.5000  2 H 1.82
Au 0.5000 0.5000 0.5000  8 Sc 2.95, 4 Pd 3.28

Output
E: -5.6047 eV/atom
Space-group type: No. 123
Calculated density: 8.36 Mg/m³

---

No. 4
## HPdAu2Se (GGA-PBE)

Data for a relaxed HPdAu2Se crystal.

a = 5.2353 Å, b = 5.2353 Å, c = 4.6095 Å
α = 90.00°, β = 90.00°, γ = 90.00°
Last column: nearest neighbours and their distance in Å.
Fractional positions:
H 0.0000 0.0000 0.0000  8 Au 3.49, 4 Se 3.70
Pd 0.5000 0.5000 0.5000  2 Se 2.30
Au 0.0000 0.5000 0.5000  2 Pd 2.62
Au 0.5000 0.0000 0.5000  2 Pd 2.62
Se 0.5000 0.5000 0.0000  2 Pd 2.30

Output
E: -2.8136 eV/atom
Space-group type: No. 123
Calculated density: 7.63 Mg/m³

---

No. 5
## HPd6Au2Se (GGA-PBE)

Data for a relaxed HPd6Au2Se crystal.

a = 5.6668 Å, b = 5.7344 Å, c = 5.8827 Å
α = 70.65°, β = 70.64°, γ = 62.13°
Last column: nearest neighbours and their distance in Å.
Fractional positions:
H 0.0000 0.0000 0.0000  4 Pd 1.93-1.96
Pd 0.1466 0.8527 0.2945  1 H 1.93
Pd 0.2715 0.6838 0.8641  1 H 1.96
Pd 0.2993 0.1825 0.8094  1 H 2.20
Pd 0.7026 0.8185 0.1896  1 H 2.19
Pd 0.7304 0.3172 0.1348  1 H 1.96
Pd 0.8553 0.1483 0.7044  1 H 1.93
Au 0.2021 0.3098 0.2934  10 Pd 2.76-3.09, 1 Se 3.08
Au 0.7997 0.6912 0.7055  10 Pd 2.76-3.09, 1 Se 3.08
Se 0.5009 0.5004 0.4995  6 Pd 2.40-2.51

Output
E: -4.5080 eV/atom
Space-group type: No. 1
Calculated density: 11.85 Mg/m³

---

No. 6
## Sn4H3Pd12Au (GGA-PBE)

Data for a relaxed Sn4H3Pd12Au crystal.

a = 7.4088 Å, b = 7.4088 Å, c = 7.4088 Å
α = 109.47°, β = 109.47°, γ = 109.47°
Last column: nearest neighbours and their distance in Å.
Fractional positions:
Sn 0.0000 0.0000 0.5000  12 Pd 3.02-3.05
Sn 0.0000 0.5000 0.0000  12 Pd 3.02-3.05
Sn 0.5000 0.0000 0.0000  12 Pd 3.02-3.05
Sn 0.5000 0.5000 0.5000  12 Pd 3.02-3.05
H 0.0000 0.5000 0.5000  2 Pd 1.76
H 0.5000 0.0000 0.5000  2 Pd 1.76
H 0.5000 0.5000 0.0000  2 Pd 1.76
Pd 0.0000 0.2945 0.2945  1 H 1.76
Pd 0.0000 0.7055 0.7055  1 H 1.76
Pd 0.2500 0.5000 0.7500  2 H 2.14
Pd 0.2500 0.7500 0.5000  2 H 2.14
Pd 0.2945 0.0000 0.2945  1 H 1.76
Pd 0.2945 0.2945 0.0000  1 H 1.76
Pd 0.5000 0.2500 0.7500  2 H 2.14
Pd 0.5000 0.7500 0.2500  2 H 2.14
Pd 0.7055 0.0000 0.7055  1 H 1.76
Pd 0.7055 0.7055 0.0000  1 H 1.76
Pd 0.7500 0.2500 0.5000  2 H 2.14
Pd 0.7500 0.5000 0.2500  2 H 2.14
Au 0.0000 0.0000 0.0000  6 Pd 2.52

Output
E: -4.7669 eV/atom
Space-group type: No. 229
Calculated density: 10.35 Mg/m³

---

No. 7
## Sn2HPd6Au (GGA-PBE)

Data for a relaxed Sn2HPd6Au crystal.

a = 5.2405 Å, b = 5.5147 Å, c = 6.5139 Å
α = 75.26°, β = 70.11°, γ = 68.98°
Last column: nearest neighbours and their distance in Å.
Fractional positions:
Sn 0.2189 0.3030 0.2777  8 Pd 2.68-2.93, 1 Au 2.97
Sn 0.7811 0.6970 0.7223  8 Pd 2.68-2.93, 1 Au 2.97
H 0.0000 0.0000 0.0000  6 Pd 1.96-2.14
Pd 0.0812 0.8525 0.3155  1 H 2.14
Pd 0.2343 0.6572 0.9076  1 H 1.96
Pd 0.3358 0.1378 0.8584  1 H 2.01
Pd 0.6642 0.8622 0.1416  1 H 2.01
Pd 0.7657 0.3428 0.0924  1 H 1.96
Pd 0.9188 0.1475 0.6845  1 H 2.14
Au 0.5000 0.5000 0.5000  6 Pd 2.74-2.77, 2 Sn 2.97

Output
E: -4.8529 eV/atom
Space-group type: No. 2
Calculated density: 10.92 Mg/m³

---

No. 8
## Sr2HPdAu (GGA-PBE)

Data for a relaxed Sr2HPdAu crystal.

a = 5.4445 Å, b = 5.4445 Å, c = 3.7246 Å
α = 90.00°, β = 90.00°, γ = 90.00°
Last column: nearest neighbours and their distance in Å.
Fractional positions:
Sr 0.0000 0.5000 0.0000  2 H 2.72
Sr 0.5000 0.0000 0.0000  2 H 2.72
H 0.0000 0.0000 0.0000  2 Pd 1.86
Pd 0.0000 0.0000 0.5000  2 H 1.86
Au 0.5000 0.5000 0.5000  8 Sr 3.30

Output
E: -3.6555 eV/atom
Space-group type: No. 123
Energy above the most stable polymorph in this dataset: 0.000 eV per formula unit
Calculated density: 7.21 Mg/m³

---

No. 9
## Sr2HPdAu (GGA-PBE)

Data for a relaxed Sr2HPdAu crystal.

a = 5.3599 Å, b = 5.3599 Å, c = 3.8779 Å
α = 90.00°, β = 90.00°, γ = 90.00°
Last column: nearest neighbours and their distance in Å.
Fractional positions:
Sr 0.0000 0.5000 0.0000  2 H 2.68
Sr 0.5000 0.0000 0.0000  2 H 2.68
H 0.0000 0.0000 0.0000  2 Au 1.94
Pd 0.5000 0.5000 0.5000  8 Sr 3.31
Au 0.0000 0.0000 0.5000  2 H 1.94

Output
E: -3.5643 eV/atom
Space-group type: No. 123
Energy above the most stable polymorph in this dataset: 0.456 eV per formula unit
Calculated density: 7.15 Mg/m³

---

No. 10
## SrHPdAu2 (GGA-PBE)

Data for a relaxed SrHPdAu2 crystal.

a = 5.1166 Å, b = 5.1166 Å, c = 5.5676 Å
α = 90.00°, β = 90.00°, γ = 90.00°
Last column: nearest neighbours and their distance in Å.
Fractional positions:
Sr 0.0000 0.0000 0.0000  2 Pd 2.78
H 0.5000 0.5000 0.0000  4 Sr 3.62, 8 Au 3.78
Pd 0.0000 0.0000 0.5000  4 Au 2.56, 2 Sr 2.78
Au 0.0000 0.5000 0.5000  2 Pd 2.56
Au 0.5000 0.0000 0.5000  2 Pd 2.56

Output
E: -2.9858 eV/atom
Space-group type: No. 123
Calculated density: 6.71 Mg/m³

---

No. 11
## Sr2HPd6Au (GGA-PBE)

Data for a relaxed Sr2HPd6Au crystal.

a = 6.5112 Å, b = 6.5093 Å, c = 6.5055 Å
α = 60.04°, β = 60.01°, γ = 59.95°
Last column: nearest neighbours and their distance in Å.
Fractional positions:
Sr 0.2500 0.2500 0.2500  12 Pd 3.27
Sr 0.7500 0.7500 0.7500  12 Pd 3.27
H 0.0000 0.0000 0.0000  6 Pd 1.98
Pd 0.2151 0.2151 0.7849  1 H 1.98
Pd 0.2150 0.7850 0.2150  1 H 1.98
Pd 0.2149 0.7851 0.7851  1 H 1.98
Pd 0.7851 0.2149 0.2149  1 H 1.98
Pd 0.7850 0.2150 0.7850  1 H 1.98
Pd 0.7849 0.7849 0.2151  1 H 1.98
Au 0.5000 0.5000 0.5000  6 Pd 2.62

Output
E: -4.4674 eV/atom
Space-group type: No. 69
Calculated density: 8.62 Mg/m³

---

No. 12
## Ta2HPdAu (GGA-PBE)

Data for a relaxed Ta2HPdAu crystal.

a = 4.1164 Å, b = 4.1164 Å, c = 4.1544 Å
α = 90.00°, β = 90.00°, γ = 90.00°
Last column: nearest neighbours and their distance in Å.
Fractional positions:
Ta 0.0000 0.5000 0.0000  2 H 2.06
Ta 0.5000 0.0000 0.0000  2 H 2.06
H 0.0000 0.0000 0.0000  4 Ta 2.06, 2 Pd 2.08
Pd 0.0000 0.0000 0.5000  2 H 2.08
Au 0.5000 0.5000 0.5000  4 Pd 2.91, 8 Ta 2.92

Output
E: -7.2397 eV/atom
Space-group type: No. 123
Energy above the most stable polymorph in this dataset: 0.000 eV per formula unit
Calculated density: 15.72 Mg/m³

---

- Which of these has the highest E?
  HPdAu2Se

---

- Look up the E of the tenth one.
  -2.9858 eV/atom

---

- Which value of calculated density does entry 8 give?
  7.21 Mg/m³

---

- The highest E belongs to which entry?
  HPdAu2Se